{"formula": "SmSiPt", "functional": "PBE", "state": "optimized geometry", "lattice": [[4.1997, 0.0000, 0.0000], [0.0000, 4.1711, 0.0000], [0.0000, -2.0855, 3.6122]], "species": ["Pt", "Si", "Sm"], "fractional_positions": [[0.1667, 0.3333, 0.6667], [0.1666, 0.0000, 0.0000], [0.6667, 0.6667, 0.3333]], "sg": "P-6m2", "m_tot_mub_per_cell": 0.0, "raw_formation_energy_kj_per_mol_atoms": -108.0, "final_energy_ev_per_atom": -6.51, "dos_ef_per_ev_cell": 2.0}

{"formula": "Sm2Si7Pt12", "functional": "PBE", "state": "optimized geometry", "lattice": [[-2.0362, -2.5237, 2.3275], [-0.5370, -6.4928, -7.5097], [7.6592, -0.3424, 6.3292]], "species": ["Pt", "Pt", "Pt", "Pt", "Pt", "Pt", "Pt", "Pt", "Pt", "Pt", "Pt", "Pt", "Sm", "Sm", "Si", "Si", "Si", "Si", "Si", "Si", "Si"], "fractional_positions": [[0.2511, 0.6196, 0.0713], [0.7489, 0.3804, 0.9287], [0.2410, 0.1128, 0.2598], [0.7590, 0.2598, 0.1469], [0.7590, 0.8531, 0.1128], [0.2410, 0.7402, 0.8531], [0.7489, 0.0713, 0.4517], [0.2511, 0.4517, 0.3804], [0.2410, 0.1469, 0.8872], [0.7590, 0.8872, 0.7402], [0.7489, 0.5483, 0.6196], [0.2511, 0.9287, 0.5483], [0.7540, 0.6667, 0.3333], [0.2460, 0.3333, 0.6667], [0.7465, 0.5964, 0.8839], [0.2535, 0.8839, 0.2876], [0.2535, 0.7124, 0.5964], [0.7465, 0.1161, 0.7124], [0.2535, 0.4036, 0.1161], [0.7465, 0.2876, 0.4036], [0.5000, 0.0000, 0.0000]], "sg": "P-3", "m_tot_mub_per_cell": 0.0, "raw_formation_energy_kj_per_mol_atoms": -87.7, "final_energy_ev_per_atom": -6.62, "dos_ef_per_ev_cell": 7.0}

{"formula": "Sm5Si2Pt12", "functional": "PBE", "state": "optimized geometry", "lattice": [[6.4842, -0.1057, 0.6506], [-0.2287, 6.2532, 3.2946], [0.1338, -0.6245, 8.7843]], "species": ["Sm", "Sm", "Sm", "Sm", "Sm", "Pt", "Pt", "Pt", "Pt", "Pt", "Pt", "Pt", "Pt", "Pt", "Pt", "Pt", "Pt", "Si", "Si"], "fractional_positions": [[0.9335, 0.3116, 0.3768], [0.4053, 0.2339, 0.5322], [0.5947, 0.7661, 0.4678], [0.5000, 0.0000, 0.0000], [0.0665, 0.6884, 0.6232], [0.9397, 0.9077, 0.1846], [0.0603, 0.0923, 0.8154], [0.2582, 0.6549, 0.3089], [0.7418, 0.9637, 0.6911], [0.7418, 0.3451, 0.6911], [0.6539, 0.2082, 0.1924], [0.2582, 0.0363, 0.3089], [0.6539, 0.5994, 0.1924], [0.7299, 0.5542, 0.8917], [0.3461, 0.4006, 0.8076], [0.2701, 0.4458, 0.1083], [0.3461, 0.7918, 0.8076], [0.0000, 0.2848, 0.0000], [0.0000, 0.7152, 0.0000]], "sg": "C2/m", "m_tot_mub_per_cell": 0.0, "raw_formation_energy_kj_per_mol_atoms": -90.3, "final_energy_ev_per_atom": -6.56, "dos_ef_per_ev_cell": 8.9}

{"formula": "Sm2Si5Pt3", "functional": "PBE", "state": "optimized geometry", "lattice": [[8.2159, -0.0011, -0.0034], [-0.1161, 8.2151, 0.0034], [-2.1434, -5.9870, 5.2022]], "species": ["Pt", "Pt", "Pt", "Pt", "Pt", "Pt", "Sm", "Sm", "Sm", "Sm", "Si", "Si", "Si", "Si", "Si", "Si", "Si", "Si", "Si", "Si"], "fractional_positions": [[0.5000, 0.7500, 0.2500], [0.0254, 0.6364, 0.3889], [0.5000, 0.2500, 0.7500], [0.7525, 0.8636, 0.8889], [0.9746, 0.3636, 0.6111], [0.2475, 0.1364, 0.1111], [0.6390, 0.3709, 0.2681], [0.3610, 0.6291, 0.7319], [0.1028, 0.8709, 0.2319], [0.8972, 0.1291, 0.7681], [0.7286, 0.9786, 0.2500], [0.0000, 0.7500, 0.7500], [0.2714, 0.0214, 0.7500], [0.2714, 0.5214, 0.2500], [0.4629, 0.1131, 0.3498], [0.7633, 0.6131, 0.1502], [0.7286, 0.4786, 0.7500], [0.5371, 0.8869, 0.6502], [0.2367, 0.3869, 0.8498], [0.0000, 0.2500, 0.2500]], "sg": "Ibam", "m_tot_mub_per_cell": 0.0, "raw_formation_energy_kj_per_mol_atoms": -95.8, "final_energy_ev_per_atom": -6.46, "dos_ef_per_ev_cell": 5.7}

{"formula": "Sm3Si2Pt4", "functional": "PBE", "state": "optimized geometry", "lattice": [[4.1663, 0.0000, 1.2307], [1.7444, 5.1195, 1.7622], [-0.2719, 0.2410, 8.5881]], "species": ["Si", "Si", "Sm", "Sm", "Sm", "Pt", "Pt", "Pt", "Pt"], "fractional_positions": [[0.3350, 0.9990, 0.3309], [0.6650, 0.0010, 0.6691], [0.3672, 0.5733, 0.6922], [0.6328, 0.4267, 0.3078], [0.0000, 0.0000, 0.0000], [0.2835, 0.3535, 0.0795], [0.8950, 0.7929, 0.4170], [0.1050, 0.2071, 0.5830], [0.7165, 0.6465, 0.9205]], "sg": "C2/m", "m_tot_mub_per_cell": 0.0, "raw_formation_energy_kj_per_mol_atoms": -110.9, "final_energy_ev_per_atom": -6.61, "dos_ef_per_ev_cell": 5.1}

{"formula": "SmSi4Pt12", "functional": "PBE", "state": "optimized geometry", "lattice": [[7.2873, 0.0000, 0.0000], [-2.4291, 6.8706, 0.0000], [-2.4291, -3.4353, 5.9501]], "species": ["Pt", "Pt", "Pt", "Pt", "Pt", "Pt", "Pt", "Pt", "Pt", "Pt", "Pt", "Pt", "Si", "Si", "Si", "Si", "Sm"], "fractional_positions": [[0.3405, 0.5026, 0.1620], [0.4974, 0.8380, 0.6595], [0.5026, 0.1620, 0.3405], [0.1620, 0.3405, 0.5026], [0.8215, 0.1620, 0.6595], [0.8380, 0.6595, 0.4974], [0.1620, 0.6595, 0.8215], [0.8380, 0.3405, 0.1785], [0.3405, 0.1785, 0.8380], [0.1785, 0.8380, 0.3405], [0.6595, 0.4974, 0.8380], [0.6595, 0.8215, 0.1620], [0.0000, 0.0000, 0.5000], [0.0000, 0.5000, 0.0000], [0.5000, 0.5000, 0.5000], [0.5000, 0.0000, 0.0000], [0.0000, 0.0000, 0.0000]], "sg": "Im-3", "m_tot_mub_per_cell": 0.0, "raw_formation_energy_kj_per_mol_atoms": -45.7, "final_energy_ev_per_atom": -6.29, "dos_ef_per_ev_cell": 4.0}

{"formula": "Sm3Si2Pt7", "functional": "PBE", "state": "optimized geometry", "lattice": [[-0.2079, -0.1212, -4.0579], [3.5050, -2.2336, -0.1128], [-9.3875, -10.9016, 0.8065]], "species": ["Si", "Si", "Pt", "Pt", "Pt", "Pt", "Pt", "Pt", "Pt", "Sm", "Sm", "Sm"], "fractional_positions": [[0.0000, 0.9177, 0.8355], [0.0000, 0.0823, 0.1645], [0.0000, 0.0000, 0.0000], [0.0000, 0.2118, 0.4236], [0.5000, 0.8743, 0.7487], [0.0000, 0.6246, 0.2492], [0.0000, 0.3754, 0.7508], [0.0000, 0.7882, 0.5764], [0.5000, 0.1257, 0.2513], [0.5000, 0.5000, 0.0000], [0.5000, 0.7006, 0.4012], [0.5000, 0.2994, 0.5988]], "sg": "Cmmm", "m_tot_mub_per_cell": 0.0, "raw_formation_energy_kj_per_mol_atoms": -90.0, "final_energy_ev_per_atom": -6.54, "dos_ef_per_ev_cell": 4.9}

{"formula": "Sm2Si12Pt7", "functional": "PBE", "state": "optimized geometry", "lattice": [[3.9954, 0.0000, 0.0000], [0.0000, 8.6999, -5.0229], [0.0000, 0.0000, 10.0457]], "species": ["Si", "Si", "Si", "Si", "Si", "Si", "Si", "Si", "Si", "Si", "Si", "Si", "Pt", "Pt", "Pt", "Pt", "Pt", "Pt", "Pt", "Sm", "Sm"], "fractional_positions": [[0.7338, 0.3742, 0.9346], [0.2768, 0.1455, 0.8803], [0.2768, 0.1197, 0.2652], [0.7232, 0.2652, 0.1455], [0.7338, 0.0654, 0.4396], [0.2662, 0.9346, 0.5604], [0.2662, 0.6258, 0.0654], [0.7232, 0.8803, 0.7348], [0.7338, 0.5604, 0.6258], [0.2768, 0.7348, 0.8545], [0.7232, 0.8545, 0.1197], [0.2662, 0.4396, 0.3742], [0.2067, 0.8931, 0.2966], [0.7933, 0.2966, 0.4035], [0.7933, 0.1069, 0.7034], [0.5000, 0.0000, 0.0000], [0.7933, 0.5965, 0.8931], [0.2067, 0.7034, 0.5965], [0.2067, 0.4035, 0.1069], [0.2756, 0.3333, 0.6667], [0.7244, 0.6667, 0.3333]], "sg": "P-3", "m_tot_mub_per_cell": 0.0, "raw_formation_energy_kj_per_mol_atoms": -58.1, "final_energy_ev_per_atom": -6.16, "dos_ef_per_ev_cell": 4.4}

{"formula": "Sm3Si5Pt6", "functional": "PBE", "state": "optimized geometry", "lattice": [[-1.4589, 0.9395, -3.6988], [-9.1773, -2.8396, 2.8985], [-2.3597, 11.5784, 3.8717]], "species": ["Sm", "Sm", "Sm", "Sm", "Sm", "Sm", "Pt", "Pt", "Pt", "Pt", "Pt", "Pt", "Pt", "Pt", "Pt", "Pt", "Pt", "Pt", "Si", "Si", "Si", "Si", "Si", "Si", "Si", "Si", "Si", "Si"], "fractional_positions": [[0.0000, 0.2591, 0.0000], [0.0000, 0.2476, 0.6573], [0.5000, 0.7524, 0.8427], [0.5000, 0.7409, 0.5000], [0.0000, 0.2476, 0.3427], [0.5000, 0.7524, 0.1573], [0.0000, 0.6122, 0.3011], [0.5000, 0.3878, 0.8011], [0.5000, 0.5122, 0.0000], [0.0000, 0.0114, 0.8314], [0.5000, 0.9886, 0.3314], [0.5000, 0.9886, 0.6686], [0.5000, 0.3878, 0.1989], [0.0000, 0.0114, 0.1686], [0.0000, 0.4878, 0.5000], [0.5000, 0.0186, 0.0000], [0.0000, 0.9814, 0.5000], [0.0000, 0.6122, 0.6989], [0.5000, 0.1484, 0.8277], [0.5000, 0.4776, 0.3819], [0.5000, 0.1484, 0.1723], [0.0000, 0.8516, 0.6723], [0.5000, 0.1230, 0.5000], [0.5000, 0.4776, 0.6181], [0.0000, 0.5224, 0.8819], [0.0000, 0.8516, 0.3277], [0.0000, 0.5224, 0.1181], [0.0000, 0.8770, 0.0000]], "sg": "Pmmn", "m_tot_mub_per_cell": 0.0, "raw_formation_energy_kj_per_mol_atoms": -99.6, "final_energy_ev_per_atom": -6.57, "dos_ef_per_ev_cell": 18.1}

Number 1 is which compound?
SmSiPt

Please write out number 1 again, unchanged.
{"formula": "SmSiPt", "functional": "PBE", "state": "optimized geometry", "lattice": [[4.1997, 0.0000, 0.0000], [0.0000, 4.1711, 0.0000], [0.0000, -2.0855, 3.6122]], "species": ["Pt", "Si", "Sm"], "fractional_positions": [[0.1667, 0.3333, 0.6667], [0.1666, 0.0000, 0.0000], [0.6667, 0.6667, 0.3333]], "sg": "P-6m2", "m_tot_mub_per_cell": 0.0, "raw_formation_energy_kj_per_mol_atoms": -108.0, "final_energy_ev_per_atom": -6.51, "dos_ef_per_ev_cell": 2.0}